No. 1
Here is an optimized crystal structure of PaCdPb from OQMD via LeMat-Bulk. Energies are from GGA-PBE.

## Properties
- magnetic moment (μB per formula unit) = 1.8
- ΔE to the lowest computed polymorph (eV/atom) = 0.071

a = 7.1890 Å, b = 7.1890 Å, c = 7.1890 Å
α = 90.00°, β = 90.00°, γ = 90.00°
Last column: nearest neighbours and their distance in Å.
Fractional positions:
Pa: 0.0000 0.0000 0.0000  4 Pb 3.11
Pa: 0.0000 0.5000 0.5000  4 Pb 3.11
Pa: 0.5000 0.0000 0.5000  4 Pb 3.11
Pa: 0.5000 0.5000 0.0000  4 Pb 3.11
Cd: 0.0000 0.0000 0.5000  4 Pb 3.11
Cd: 0.0000 0.5000 0.0000  4 Pb 3.11
Cd: 0.5000 0.0000 0.0000  4 Pb 3.11
Cd: 0.5000 0.5000 0.5000  4 Pb 3.11
Pb: 0.2500 0.2500 0.7500  4 Cd 3.11, 4 Pa 3.11
Pb: 0.2500 0.7500 0.2500  4 Cd 3.11, 4 Pa 3.11
Pb: 0.7500 0.2500 0.2500  4 Cd 3.11, 4 Pa 3.11
Pb: 0.7500 0.7500 0.7500  4 Cd 3.11, 4 Pa 3.11


No. 2
Here is an optimized crystal structure of PaCdPd from OQMD via LeMat-Bulk. Energies are from GGA-PBE.

## Properties
- magnetic moment (μB per formula unit) = 1.0
- ΔE to the lowest computed polymorph (eV/atom) = 0.000

a = 6.6434 Å, b = 6.6434 Å, c = 6.6434 Å
α = 90.00°, β = 90.00°, γ = 90.00°
Last column: nearest neighbours and their distance in Å.
Fractional positions:
Pa: 0.0000 0.0000 0.0000  4 Pd 2.88
Pa: 0.0000 0.5000 0.5000  4 Pd 2.88
Pa: 0.5000 0.0000 0.5000  4 Pd 2.88
Pa: 0.5000 0.5000 0.0000  4 Pd 2.88
Cd: 0.0000 0.0000 0.5000  4 Pd 2.88
Cd: 0.0000 0.5000 0.0000  4 Pd 2.88
Cd: 0.5000 0.0000 0.0000  4 Pd 2.88
Cd: 0.5000 0.5000 0.5000  4 Pd 2.88
Pd: 0.2500 0.2500 0.7500  4 Cd 2.88, 4 Pa 2.88
Pd: 0.2500 0.7500 0.2500  4 Cd 2.88, 4 Pa 2.88
Pd: 0.7500 0.2500 0.2500  4 Cd 2.88, 4 Pa 2.88
Pd: 0.7500 0.7500 0.7500  4 Pa 2.88, 4 Cd 2.88


No. 3
Here is an optimized crystal structure of PaCdPd from OQMD via LeMat-Bulk. Energies are from GGA-PBE.

## Properties
- magnetic moment (μB per formula unit) = 0.6
- ΔE to the lowest computed polymorph (eV/atom) = 0.568

a = 6.8266 Å, b = 6.8266 Å, c = 6.8266 Å
α = 90.00°, β = 90.00°, γ = 90.00°
Last column: nearest neighbours and their distance in Å.
Fractional positions:
Pa: 0.0000 0.0000 0.0000  4 Pd 2.96, 4 Cd 2.96
Pa: 0.0000 0.5000 0.5000  4 Pd 2.96, 4 Cd 2.96
Pa: 0.5000 0.0000 0.5000  4 Pd 2.96, 4 Cd 2.96
Pa: 0.5000 0.5000 0.0000  4 Cd 2.96, 4 Pd 2.96
Cd: 0.2500 0.2500 0.7500  4 Pa 2.96
Cd: 0.2500 0.7500 0.2500  4 Pa 2.96
Cd: 0.7500 0.2500 0.2500  4 Pa 2.96
Cd: 0.7500 0.7500 0.7500  4 Pa 2.96
Pd: 0.2500 0.2500 0.2500  4 Pa 2.96
Pd: 0.2500 0.7500 0.7500  4 Pa 2.96
Pd: 0.7500 0.2500 0.7500  4 Pa 2.96
Pd: 0.7500 0.7500 0.2500  4 Pa 2.96


No. 4
Here is an optimized crystal structure of PrPaCd from OQMD via LeMat-Bulk. Energies are from GGA-PBE.

## Properties
- magnetic moment (μB per formula unit) = 1.6
- E (Ry per atom) = -0.3081

a = 7.0993 Å, b = 7.0993 Å, c = 7.0993 Å
α = 90.00°, β = 90.00°, γ = 90.00°
Last column: nearest neighbours and their distance in Å.
Fractional positions:
Pr: 0.0000 0.0000 0.0000  4 Cd 3.07, 4 Pa 3.07
Pr: 0.0000 0.5000 0.5000  4 Cd 3.07, 4 Pa 3.07
Pr: 0.5000 0.0000 0.5000  4 Cd 3.07, 4 Pa 3.07
Pr: 0.5000 0.5000 0.0000  4 Cd 3.07, 4 Pa 3.07
Pa: 0.2500 0.2500 0.2500  4 Pr 3.07
Pa: 0.2500 0.7500 0.7500  4 Pr 3.07
Pa: 0.7500 0.2500 0.7500  4 Pr 3.07
Pa: 0.7500 0.7500 0.2500  4 Pr 3.07
Cd: 0.2500 0.2500 0.7500  4 Pr 3.07
Cd: 0.2500 0.7500 0.2500  4 Pr 3.07
Cd: 0.7500 0.2500 0.2500  4 Pr 3.07
Cd: 0.7500 0.7500 0.7500  4 Pr 3.07


No. 5
Here is an optimized crystal structure of PuPaCd from OQMD via LeMat-Bulk. Energies are from GGA-PBE.

## Properties
- magnetic moment (μB per formula unit) = 7.0
- E (Ry per atom) = -0.5568

a = 6.9085 Å, b = 6.9085 Å, c = 6.9085 Å
α = 90.00°, β = 90.00°, γ = 90.00°
Last column: nearest neighbours and their distance in Å.
Fractional positions:
Pu: 0.0000 0.0000 0.0000  4 Pa 2.99
Pu: 0.0000 0.5000 0.5000  4 Pa 2.99
Pu: 0.5000 0.0000 0.5000  4 Pa 2.99
Pu: 0.5000 0.5000 0.0000  4 Pa 2.99
Pa: 0.2500 0.2500 0.7500  4 Pu 2.99, 4 Cd 2.99
Pa: 0.2500 0.7500 0.2500  4 Pu 2.99, 4 Cd 2.99
Pa: 0.7500 0.2500 0.2500  4 Pu 2.99, 4 Cd 2.99
Pa: 0.7500 0.7500 0.7500  4 Pu 2.99, 4 Cd 2.99
Cd: 0.0000 0.0000 0.5000  4 Pa 2.99
Cd: 0.0000 0.5000 0.0000  4 Pa 2.99
Cd: 0.5000 0.0000 0.0000  4 Pa 2.99
Cd: 0.5000 0.5000 0.5000  4 Pa 2.99


No. 6
Here is an optimized crystal structure of RbPaCd from OQMD via LeMat-Bulk. Energies are from GGA-PBE.

## Properties
- magnetic moment (μB per formula unit) = 2.0
- E (Ry per atom) = -0.1682

a = 7.7062 Å, b = 7.7062 Å, c = 7.7062 Å
α = 90.00°, β = 90.00°, γ = 90.00°
Last column: nearest neighbours and their distance in Å.
Fractional positions:
Rb: 0.0000 0.0000 0.0000  4 Pa 3.34
Rb: 0.0000 0.5000 0.5000  4 Pa 3.34
Rb: 0.5000 0.0000 0.5000  4 Pa 3.34
Rb: 0.5000 0.5000 0.0000  4 Pa 3.34
Pa: 0.2500 0.2500 0.7500  4 Cd 3.34, 4 Rb 3.34
Pa: 0.2500 0.7500 0.2500  4 Cd 3.34, 4 Rb 3.34
Pa: 0.7500 0.2500 0.2500  4 Cd 3.34, 4 Rb 3.34
Pa: 0.7500 0.7500 0.7500  4 Cd 3.34, 4 Rb 3.34
Cd: 0.0000 0.0000 0.5000  4 Pa 3.34
Cd: 0.0000 0.5000 0.0000  4 Pa 3.34
Cd: 0.5000 0.0000 0.0000  4 Pa 3.34
Cd: 0.5000 0.5000 0.5000  4 Pa 3.34


No. 7
Here is an optimized crystal structure of PaCdRe from OQMD via LeMat-Bulk. Energies are from GGA-PBE.

## Properties
- magnetic moment (μB per formula unit) = 0.0
- ΔE to the lowest computed polymorph (eV/atom) = 0.000

a = 6.5673 Å, b = 6.5673 Å, c = 6.5673 Å
α = 90.00°, β = 90.00°, γ = 90.00°
Last column: nearest neighbours and their distance in Å.
Fractional positions:
Pa: 0.0000 0.0000 0.0000  4 Re 2.84
Pa: 0.0000 0.5000 0.5000  4 Re 2.84
Pa: 0.5000 0.0000 0.5000  4 Re 2.84
Pa: 0.5000 0.5000 0.0000  4 Re 2.84
Cd: 0.0000 0.0000 0.5000  4 Re 2.84
Cd: 0.0000 0.5000 0.0000  4 Re 2.84
Cd: 0.5000 0.0000 0.0000  4 Re 2.84
Cd: 0.5000 0.5000 0.5000  4 Re 2.84
Re: 0.2500 0.2500 0.2500  4 Pa 2.84, 4 Cd 2.84
Re: 0.2500 0.7500 0.7500  4 Pa 2.84, 4 Cd 2.84
Re: 0.7500 0.2500 0.7500  4 Pa 2.84, 4 Cd 2.84
Re: 0.7500 0.7500 0.2500  4 Pa 2.84, 4 Cd 2.84


No. 8
Here is an optimized crystal structure of PaCdRe from OQMD via LeMat-Bulk. Energies are from GGA-PBE.

## Properties
- magnetic moment (μB per formula unit) = 0.0
- ΔE to the lowest computed polymorph (eV/atom) = 0.613

a = 6.6719 Å, b = 6.6719 Å, c = 6.6719 Å
α = 90.00°, β = 90.00°, γ = 90.00°
Last column: nearest neighbours and their distance in Å.
Fractional positions:
Pa: 0.0000 0.0000 0.0000  4 Cd 2.89, 4 Re 2.89
Pa: 0.0000 0.5000 0.5000  4 Cd 2.89, 4 Re 2.89
Pa: 0.5000 0.0000 0.5000  4 Cd 2.89, 4 Re 2.89
Pa: 0.5000 0.5000 0.0000  4 Cd 2.89, 4 Re 2.89
Cd: 0.2500 0.2500 0.7500  4 Pa 2.89
Cd: 0.2500 0.7500 0.2500  4 Pa 2.89
Cd: 0.7500 0.2500 0.2500  4 Pa 2.89
Cd: 0.7500 0.7500 0.7500  4 Pa 2.89
Re: 0.2500 0.2500 0.2500  4 Pa 2.89
Re: 0.2500 0.7500 0.7500  4 Pa 2.89
Re: 0.7500 0.2500 0.7500  4 Pa 2.89
Re: 0.7500 0.7500 0.2500  4 Pa 2.89


No. 9
Here is an optimized crystal structure of PaCdSb from OQMD via LeMat-Bulk. Energies are from GGA-PBE.

## Properties
- magnetic moment (μB per formula unit) = 1.6
- E (Ry per atom) = -0.3416

a = 7.2041 Å, b = 7.2041 Å, c = 7.2041 Å
α = 90.00°, β = 90.00°, γ = 90.00°
Last column: nearest neighbours and their distance in Å.
Fractional positions:
Pa: 0.0000 0.0000 0.0000  4 Sb 3.12, 4 Cd 3.12
Pa: 0.0000 0.5000 0.5000  4 Sb 3.12, 4 Cd 3.12
Pa: 0.5000 0.0000 0.5000  4 Sb 3.12, 4 Cd 3.12
Pa: 0.5000 0.5000 0.0000  4 Sb 3.12, 4 Cd 3.12
Cd: 0.2500 0.2500 0.7500  4 Pa 3.12
Cd: 0.2500 0.7500 0.2500  4 Pa 3.12
Cd: 0.7500 0.2500 0.2500  4 Pa 3.12
Cd: 0.7500 0.7500 0.7500  4 Pa 3.12
Sb: 0.2500 0.2500 0.2500  4 Pa 3.12
Sb: 0.2500 0.7500 0.7500  4 Pa 3.12
Sb: 0.7500 0.2500 0.7500  4 Pa 3.12
Sb: 0.7500 0.7500 0.2500  4 Pa 3.12


No. 10
Here is an optimized crystal structure of ScPaCd from OQMD via LeMat-Bulk. Energies are from GGA-PBE.

## Properties
- magnetic moment (μB per formula unit) = 2.2
- ΔE to the lowest computed polymorph (eV/atom) = 0.000

a = 6.8582 Å, b = 6.8582 Å, c = 6.8582 Å
α = 90.00°, β = 90.00°, γ = 90.00°
Last column: nearest neighbours and their distance in Å.
Fractional positions:
Sc: 0.0000 0.0000 0.0000  4 Cd 2.97, 4 Pa 2.97
Sc: 0.0000 0.5000 0.5000  4 Cd 2.97, 4 Pa 2.97
Sc: 0.5000 0.0000 0.5000  4 Cd 2.97, 4 Pa 2.97
Sc: 0.5000 0.5000 0.0000  4 Cd 2.97, 4 Pa 2.97
Pa: 0.2500 0.2500 0.2500  4 Sc 2.97
Pa: 0.2500 0.7500 0.7500  4 Sc 2.97
Pa: 0.7500 0.2500 0.7500  4 Sc 2.97
Pa: 0.7500 0.7500 0.2500  4 Sc 2.97
Cd: 0.2500 0.2500 0.7500  4 Sc 2.97
Cd: 0.2500 0.7500 0.2500  4 Sc 2.97
Cd: 0.7500 0.2500 0.2500  4 Sc 2.97
Cd: 0.7500 0.7500 0.7500  4 Sc 2.97


Among the records above, which one has the highest magnetic moment? PuPaCd


What is the magnetic moment in the third record? 0.6 μB per formula unit